# 1
NdP2Pd2 | the Alexandria database | PBE | relaxed; energy relative to the elements = -0.957 eV per atom; magnetic moment = 0.0000 μB per atom; electronic total energy = -6.152 eV per atom
1.0
4.1726 0.0088 -0.0067
-0.0036 4.1726 -0.0067
-2.0830 -2.0892 4.9842
P Nd Pd
2 1 2
direct
0.6138 0.6138 0.2262
0.3862 0.3862 0.7738
0.0000 0.0000 0.0000
0.2503 0.7497 0.5000
0.7497 0.2503 0.5000

# 2
Co6BP | the Alexandria database | PBE | relaxed; energy relative to the elements = -0.245 eV per atom; magnetic moment = 0.7846 μB per atom; electronic total energy = -7.085 eV per atom
1.0
3.2939 -5.1861 -1.7673
4.2323 -1.9461 -4.3784
8.1645 -1.6243 0.9184
Co B P
12 2 2
direct
0.3283 0.8681 0.8106
0.1319 0.6717 0.1894
0.8298 0.3213 0.0393
0.6787 0.1702 0.9607
0.0313 0.0272 0.6147
0.9728 0.9687 0.3853
0.3926 0.3359 0.6488
0.6641 0.6074 0.3512
0.9337 0.4886 0.5929
0.5114 0.0663 0.4071
0.4218 0.9220 0.0489
0.0780 0.5782 0.9511
0.5182 0.5330 0.6814
0.4670 0.4818 0.3186
0.8077 0.7674 0.7484
0.2326 0.1923 0.2516